VASP calculation (PBE) on Pr2Sm3Bi3 after structural relaxation.

Computed properties:
Formation enthalpy at 0 K = -0.76 eV per atom
SG = P6_3/mcm
D(E_F) = 0.923 states/eV/atom
Crystal system = hexagonal

a b c (Å): 9.493 9.493 6.562
angles (deg): 90.00 90.00 120.00
Atoms (fractional coordinates):
Pr (0.333, 0.667, 0.000)
Pr (0.333, 0.667, 0.500)
Pr (0.667, 0.333, 0.000)
Pr (0.667, 0.333, 0.500)
Sm (0.000, 0.246, 0.250)
Sm (0.000, 0.754, 0.750)
Sm (0.246, 0.000, 0.250)
Sm (0.246, 0.246, 0.750)
Sm (0.754, 0.000, 0.750)
Sm (0.754, 0.754, 0.250)
Bi (0.000, 0.384, 0.750)
Bi (0.000, 0.616, 0.250)
Bi (0.384, 0.000, 0.750)
Bi (0.384, 0.384, 0.250)
Bi (0.616, 0.000, 0.250)
Bi (0.616, 0.616, 0.750)



VASP calculation (PBE) on Pr5Sm2Bi4 after structural relaxation.

Computed properties:
Formation enthalpy at 0 K = -0.22 eV per atom
SG = C2/m
D(E_F) = 1.046 states/eV/atom
Crystal system = monoclinic

a b c (Å): 12.875 12.875 8.533
angles (deg): 91.51 91.51 15.94
Atoms (fractional coordinates):
Pr (0.000, 0.000, 0.000)
Pr (0.329, 0.329, 0.502)
Pr (0.360, 0.360, 0.938)
Pr (0.640, 0.640, 0.062)
Pr (0.671, 0.671, 0.498)
Sm (0.233, 0.233, 0.824)
Sm (0.767, 0.767, 0.176)
Bi (0.100, 0.100, 0.749)
Bi (0.451, 0.451, 0.681)
Bi (0.549, 0.549, 0.319)
Bi (0.900, 0.900, 0.251)



VASP calculation (PBE) on Pr2SmBi after structural relaxation.

Computed properties:
Formation enthalpy at 0 K = -0.38 eV per atom
SG = P4/mmm
D(E_F) = 1.356 states/eV/atom
Energy above the most stable polymorph in this dataset = 49 meV/atom
Crystal system = tetragonal

a b c (Å): 4.327 4.327 7.062
angles (deg): 90.00 90.00 90.00
Atoms (fractional coordinates):
Pr (0.000, 0.000, 0.230)
Pr (0.000, 0.000, 0.770)
Sm (0.500, 0.500, 0.500)
Bi (0.500, 0.500, 0.000)



VASP calculation (PBE) on Pr2Sm5Bi5 after structural relaxation.

Computed properties:
Formation enthalpy at 0 K = -0.66 eV per atom
SG = C2/m
D(E_F) = 0.833 states/eV/atom
Crystal system = monoclinic

a b c (Å): 7.725 7.725 13.213
angles (deg): 106.82 106.82 34.03
Atoms (fractional coordinates):
Pr (0.038, 0.038, 0.280)
Pr (0.962, 0.962, 0.720)
Sm (0.279, 0.279, 0.158)
Sm (0.341, 0.341, 0.461)
Sm (0.500, 0.500, 0.000)
Sm (0.659, 0.659, 0.539)
Sm (0.721, 0.721, 0.842)
Bi (0.000, 0.000, 0.500)
Bi (0.124, 0.124, 0.939)
Bi (0.300, 0.300, 0.703)
Bi (0.700, 0.700, 0.297)
Bi (0.876, 0.876, 0.061)



VASP calculation (PBE) on PrSm2Bi after structural relaxation.

Computed properties:
Formation enthalpy at 0 K = 0.01 eV per atom
SG = R-3m
D(E_F) = 0.881 states/eV/atom
Energy above the most stable polymorph in this dataset = 470 meV/atom
Crystal system = trigonal

a b c (Å): 12.525 12.525 12.525
angles (deg): 16.58 16.58 16.58
Atoms (fractional coordinates):
Pr (0.000, 0.000, 0.000)
Sm (0.414, 0.414, 0.414)
Sm (0.586, 0.586, 0.586)
Bi (0.500, 0.500, 0.500)



VASP calculation (PBE) on Pr3Sm2Bi3 after structural relaxation.

Computed properties:
Formation enthalpy at 0 K = -0.78 eV per atom
SG = P6_3/mcm
D(E_F) = 1.062 states/eV/atom
Crystal system = hexagonal

a b c (Å): 9.505 9.505 6.606
angles (deg): 90.00 90.00 120.00
Atoms (fractional coordinates):
Pr (0.000, 0.247, 0.250)
Pr (0.000, 0.753, 0.750)
Pr (0.247, 0.000, 0.250)
Pr (0.247, 0.247, 0.750)
Pr (0.753, 0.000, 0.750)
Pr (0.753, 0.753, 0.250)
Sm (0.333, 0.667, 0.000)
Sm (0.333, 0.667, 0.500)
Sm (0.667, 0.333, 0.000)
Sm (0.667, 0.333, 0.500)
Bi (0.000, 0.391, 0.750)
Bi (0.000, 0.609, 0.250)
Bi (0.391, 0.000, 0.750)
Bi (0.391, 0.391, 0.250)
Bi (0.609, 0.000, 0.250)
Bi (0.609, 0.609, 0.750)



VASP calculation (PBE) on Pr3SmBi3 after structural relaxation.

Computed properties:
Formation enthalpy at 0 K = -0.74 eV per atom
SG = R-3
D(E_F) = 0.655 states/eV/atom
Energy above the most stable polymorph in this dataset = 95 meV/atom
Crystal system = trigonal

a b c (Å): 8.482 8.482 8.482
angles (deg): 67.86 67.86 67.86
Atoms (fractional coordinates):
Pr (0.090, 0.821, 0.346)
Pr (0.179, 0.654, 0.910)
Pr (0.346, 0.090, 0.821)
Pr (0.654, 0.910, 0.179)
Pr (0.821, 0.346, 0.090)
Pr (0.910, 0.179, 0.654)
Sm (0.333, 0.333, 0.333)
Sm (0.667, 0.667, 0.667)
Bi (0.077, 0.470, 0.695)
Bi (0.305, 0.923, 0.530)
Bi (0.470, 0.695, 0.077)
Bi (0.530, 0.305, 0.923)
Bi (0.695, 0.077, 0.470)
Bi (0.923, 0.530, 0.305)



VASP calculation (PBE) on Pr4SmBi5 after structural relaxation.

Computed properties:
Formation enthalpy at 0 K = -0.95 eV per atom
SG = Immm
D(E_F) = 0.206 states/eV/atom
Crystal system = orthorhombic

a b c (Å): 12.230 12.230 12.230
angles (deg): 158.18 149.00 38.23
Atoms (fractional coordinates):
Pr (0.100, 0.100, 0.000)
Pr (0.301, 0.301, 0.000)
Pr (0.699, 0.699, 0.000)
Pr (0.900, 0.900, 0.000)
Sm (0.500, 0.500, 0.000)
Bi (0.000, 0.500, 0.500)
Bi (0.200, 0.700, 0.500)
Bi (0.402, 0.902, 0.500)
Bi (0.598, 0.098, 0.500)
Bi (0.800, 0.300, 0.500)



VASP calculation (PBE) on PrSm2Bi after structural relaxation.

Computed properties:
Formation enthalpy at 0 K = -0.37 eV per atom
SG = P4/mmm
D(E_F) = 1.472 states/eV/atom
Energy above the most stable polymorph in this dataset = 88 meV/atom
Crystal system = tetragonal

a b c (Å): 4.140 4.140 7.529
angles (deg): 90.00 90.00 90.00
Atoms (fractional coordinates):
Pr (0.000, 0.000, 0.000)
Sm (0.500, 0.500, 0.278)
Sm (0.500, 0.500, 0.722)
Bi (0.000, 0.000, 0.500)



VASP calculation (PBE) on PrSm2Bi after structural relaxation.

Computed properties:
Formation enthalpy at 0 K = -0.42 eV per atom
SG = P4/mmm
D(E_F) = 0.994 states/eV/atom
Energy above the most stable polymorph in this dataset = 44 meV/atom
Crystal system = tetragonal

a b c (Å): 4.995 4.995 4.951
angles (deg): 90.00 90.00 90.00
Atoms (fractional coordinates):
Pr (0.000, 0.000, 0.000)
Sm (0.000, 0.500, 0.500)
Sm (0.500, 0.000, 0.500)
Bi (0.500, 0.500, 0.000)



VASP calculation (PBE) on PrSmBi after structural relaxation.

Computed properties:
Formation enthalpy at 0 K = -0.52 eV per atom
SG = I4mm
D(E_F) = 1.204 states/eV/atom
Crystal system = tetragonal

a b c (Å): 6.057 6.057 6.057
angles (deg): 139.20 139.20 59.07
Atoms (fractional coordinates):
Pr (0.000, 0.000, 0.000)
Sm (0.311, 0.311, 0.000)
Bi (0.660, 0.660, 0.000)



VASP calculation (PBE) on PrSmBi6 after structural relaxation.

Computed properties:
Formation enthalpy at 0 K = -0.37 eV per atom
SG = Amm2
D(E_F) = 0.592 states/eV/atom
Crystal system = orthorhombic

a b c (Å): 4.696 11.919 11.919
angles (deg): 22.75 90.00 90.00
Atoms (fractional coordinates):
Pr (0.000, 0.000, 0.000)
Sm (0.500, 0.648, 0.648)
Bi (0.000, 0.139, 0.139)
Bi (0.000, 0.382, 0.382)
Bi (0.000, 0.758, 0.758)
Bi (0.500, 0.264, 0.264)
Bi (0.500, 0.511, 0.511)
Bi (0.500, 0.889, 0.889)